A relaxed structure of Tl2Ag5Pd5, computed with PBE.

Results
* total energy: -3.805 eV per atom
* V: 17.6 Å³/atom
* size of the total moment: 0.00 μB/f.u.
* symmetry: C2/m (12)

Cell and atoms, written as CIF:
```
data_Tl2Ag5Pd5
_symmetry_space_group_name_H-M 'P 1'
_symmetry_Int_Tables_number 1
_cell_length_a 4.2436
_cell_length_b 6.3137
_cell_length_c 9.2196
_cell_angle_alpha 112.98
_cell_angle_beta 90.00
_cell_angle_gamma 109.64
loop_
_symmetry_equiv_pos_as_xyz
'x,y,z'
loop_
_atom_site_label
_atom_site_fract_x
_atom_site_fract_y
_atom_site_fract_z
_atom_site_occupancy
Pd1 0.7476 0.4953 0.7468 1
Pd2 0.0000 0.0000 0.0000 1
Pd3 0.8334 0.6668 0.5041 1
Pd4 0.1666 0.3332 0.4959 1
Pd5 0.2524 0.5047 0.2532 1
Ag1 0.5930 0.1861 0.2547 1
Ag2 0.6635 0.3270 0.0020 1
Ag3 0.5000 0.0000 0.5000 1
Ag4 0.3365 0.6730 0.9980 1
Ag5 0.4070 0.8139 0.7453 1
Tl1 0.9154 0.8308 0.2534 1
Tl2 0.0846 0.1692 0.7466 1
```

A relaxed structure of Tl2AgPd5, computed with PBE.

Results
* total energy: -4.378 eV per atom
* V: 17.4 Å³/atom
* size of the total moment: 0.00 μB/f.u.
* symmetry: Pbam (55)

Cell and atoms, written as CIF:
```
data_Tl2AgPd5
_symmetry_space_group_name_H-M 'P 1'
_symmetry_Int_Tables_number 1
_cell_length_a 4.2284
_cell_length_b 5.7569
_cell_length_c 11.4360
_cell_angle_alpha 90.00
_cell_angle_beta 90.00
_cell_angle_gamma 90.00
loop_
_symmetry_equiv_pos_as_xyz
'x,y,z'
loop_
_atom_site_label
_atom_site_fract_x
_atom_site_fract_y
_atom_site_fract_z
_atom_site_occupancy
Pd1 0.0000 0.9682 0.7493 1
Pd2 0.5000 0.7722 0.3800 1
Pd3 0.5000 0.2722 0.1200 1
Pd4 0.0000 0.0318 0.2507 1
Pd5 0.5000 0.7278 0.8800 1
Pd6 0.0000 0.5000 0.5000 1
Pd7 0.0000 0.5318 0.2493 1
Pd8 0.5000 0.2278 0.6200 1
Pd9 0.0000 0.0000 0.0000 1
Pd10 0.0000 0.4682 0.7507 1
Tl1 0.5000 0.2782 0.3683 1
Tl2 0.5000 0.7218 0.6317 1
Tl3 0.5000 0.7782 0.1317 1
Tl4 0.5000 0.2218 0.8683 1
Ag1 0.0000 0.5000 0.0000 1
Ag2 0.0000 0.0000 0.5000 1
```

A relaxed structure of Tl4AgPd7, computed with PBE.

Results
* total energy: -4.073 eV per atom
* V: 19.9 Å³/atom
* size of the total moment: 0.00 μB/f.u.
* symmetry: C2/m (12)

Cell and atoms, written as CIF:
```
data_Tl4AgPd7
_symmetry_space_group_name_H-M 'P 1'
_symmetry_Int_Tables_number 1
_cell_length_a 5.0611
_cell_length_b 8.7921
_cell_length_c 6.1591
_cell_angle_alpha 80.18
_cell_angle_beta 65.74
_cell_angle_gamma 73.27
loop_
_symmetry_equiv_pos_as_xyz
'x,y,z'
loop_
_atom_site_label
_atom_site_fract_x
_atom_site_fract_y
_atom_site_fract_z
_atom_site_occupancy
Pd1 0.6375 0.4720 0.2529 1
Pd2 0.2031 0.0879 0.5058 1
Pd3 0.9242 0.3319 0.8196 1
Pd4 0.7969 0.9121 0.4942 1
Pd5 0.5000 0.0000 0.0000 1
Pd6 0.0758 0.6681 0.1804 1
Pd7 0.3625 0.5280 0.7471 1
Tl1 0.4119 0.7771 0.3991 1
Tl2 0.2553 0.3275 0.1620 1
Tl3 0.7447 0.6725 0.8380 1
Tl4 0.5881 0.2229 0.6009 1
Ag1 0.0000 0.0000 0.0000 1
```

A relaxed structure of Tl6AgPd8, computed with PBE.

Results
* total energy: -3.924 eV per atom
* V: 20.9 Å³/atom
* size of the total moment: 0.00 μB/f.u.
* symmetry: R-3 (148)

Cell and atoms, written as CIF:
```
data_Tl6AgPd8
_symmetry_space_group_name_H-M 'P 1'
_symmetry_Int_Tables_number 1
_cell_length_a 6.9014
_cell_length_b 6.9014
_cell_length_c 6.9014
_cell_angle_alpha 79.06
_cell_angle_beta 79.06
_cell_angle_gamma 79.06
loop_
_symmetry_equiv_pos_as_xyz
'x,y,z'
loop_
_atom_site_label
_atom_site_fract_x
_atom_site_fract_y
_atom_site_fract_z
_atom_site_occupancy
Pd1 0.8074 0.8074 0.8074 1
Pd2 0.4993 0.1617 0.8388 1
Pd3 0.1617 0.8388 0.4993 1
Pd4 0.5007 0.8383 0.1612 1
Pd5 0.1926 0.1926 0.1926 1
Pd6 0.8388 0.4993 0.1617 1
Pd7 0.8383 0.1612 0.5007 1
Pd8 0.1612 0.5007 0.8383 1
Tl1 0.2157 0.2170 0.5898 1
Tl2 0.2170 0.5898 0.2157 1
Tl3 0.4102 0.7843 0.7830 1
Tl4 0.5898 0.2157 0.2170 1
Tl5 0.7830 0.4102 0.7843 1
Tl6 0.7843 0.7830 0.4102 1
Ag1 0.0000 0.0000 0.0000 1
```

A relaxed structure of TlAgPd3, computed with PBE.

Results
* energy relative to the lowest polymorph listed for this composition: 0 meV/atom
* total energy: -4.243 eV per atom
* V: 17.4 Å³/atom
* size of the total moment: 0.00 μB/f.u.
* symmetry: C2/c (15)

Cell and atoms, written as CIF:
```
data_TlAgPd3
_symmetry_space_group_name_H-M 'P 1'
_symmetry_Int_Tables_number 1
_cell_length_a 7.6880
_cell_length_b 6.9989
_cell_length_c 6.9989
_cell_angle_alpha 88.13
_cell_angle_beta 74.23
_cell_angle_gamma 74.23
loop_
_symmetry_equiv_pos_as_xyz
'x,y,z'
loop_
_atom_site_label
_atom_site_fract_x
_atom_site_fract_y
_atom_site_fract_z
_atom_site_occupancy
Tl1 0.7500 0.6378 0.3622 1
Tl2 0.2500 0.8849 0.1151 1
Tl3 0.2500 0.3622 0.6378 1
Tl4 0.7500 0.1151 0.8849 1
Pd1 0.4537 0.0800 0.3276 1
Pd2 0.4439 0.5751 0.8284 1
Pd3 0.0463 0.6724 0.9200 1
Pd4 0.8577 0.9766 0.2219 1
Pd5 0.1423 0.0234 0.7781 1
Pd6 0.5561 0.4249 0.1716 1
Pd7 0.5463 0.9200 0.6724 1
Pd8 0.9537 0.3276 0.0800 1
Pd9 0.3577 0.2219 0.9766 1
Pd10 0.9439 0.8284 0.5751 1
Pd11 0.0561 0.1716 0.4249 1
Pd12 0.6423 0.7781 0.0234 1
Ag1 0.6609 0.2671 0.5183 1
Ag2 0.1609 0.5183 0.2671 1
Ag3 0.8391 0.4817 0.7329 1
Ag4 0.3391 0.7329 0.4817 1
```

A relaxed structure of TlAgPd2, computed with PBE.

Results
* total energy: -3.786 eV per atom
* V: 19.6 Å³/atom
* size of the total moment: 0.00 μB/f.u.
* symmetry: I-42d (122)

Cell and atoms, written as CIF:
```
data_TlAgPd2
_symmetry_space_group_name_H-M 'P 1'
_symmetry_Int_Tables_number 1
_cell_length_a 7.4414
_cell_length_b 7.4414
_cell_length_c 5.9753
_cell_angle_alpha 51.49
_cell_angle_beta 51.49
_cell_angle_gamma 90.00
loop_
_symmetry_equiv_pos_as_xyz
'x,y,z'
loop_
_atom_site_label
_atom_site_fract_x
_atom_site_fract_y
_atom_site_fract_z
_atom_site_occupancy
Pd1 0.8750 0.8758 0.7500 1
Pd2 0.3750 0.3742 0.7500 1
Pd3 0.1242 0.6250 0.2500 1
Pd4 0.6258 0.1250 0.2500 1
Tl1 0.7500 0.2500 0.5000 1
Tl2 0.0000 0.0000 0.0000 1
Ag1 0.2500 0.7500 0.5000 1
Ag2 0.5000 0.5000 0.0000 1
```